The following is a GGA-PBE calculation of a relaxed structure of RbSeS, from the Alexandria database.

```
RbSeS
1.0
5.016 0.000 0.000
0.000 4.576 0.000
0.000 -2.288 3.963
Rb S Se
1 1 1
Direct
0.661 0.333 0.667
0.196 0.667 0.333
0.143 0.000 0.000
```

Computed properties:
- M_tot: 0.00 μB per cell
- D(E_F): 3.464 states/eV per cell
- Polymorph energy (0 for the lowest one): 0.291 eV per atom
- Uncorrected energy: -3.21 eV/atom
- Formation energy without anion corrections: -0.348 eV per atom